[1]
Below is a relaxed ZnGa2Pd2 crystal, with properties calculated at the PBE level.

Structure (POSCAR):
```
ZnGa2Pd2
1.0
3.969 0.000 0.000
0.000 3.969 0.000
1.985 1.985 5.623
Ga Pd Zn
2 2 1
direct
0.610 0.610 0.781
0.390 0.390 0.219
0.750 0.250 0.500
0.250 0.750 0.500
0.000 0.000 0.000
```

E_form   -0.222 eV per atom
Total magnetization   0.00 μB/f.u.
Space group   I4/mmm
VASP energy   -3.764 eV per atom


[2]
Below is a relaxed Tl2IrSe crystal, with properties calculated at the PBE level.

Structure (POSCAR):
```
Tl2IrSe
1.0
3.870 0.000 0.000
0.000 4.284 -0.126
0.000 2.321 5.524
Ir Tl Se
1 2 1
direct
0.500 0.250 0.250
0.000 0.027 0.013
0.000 0.473 0.487
0.500 0.750 0.750
```

Formation energy (no corrections)   477 meV/atom
Total magnetization   0.00 μB/f.u.
Space group   P2/m
VASP energy   -3.792 eV per atom


Q: The highest VASP energy belongs to which entry?
A: ZnGa2Pd2


Q: Look up the VASP energy of the first one.
A: -3.764 eV per atom